The following is a PBE calculation of NpAs2Pd7Pb2 after structural relaxation, from Alexandria via LeMat-Bulk.

```
data_NpAs2Pd7Pb2
_symmetry_space_group_name_H-M 'C 1 2/m 1'
_symmetry_Int_Tables_number 12
_cell_length_a 5.793
_cell_length_b 5.782
_cell_length_c 14.525
_cell_angle_alpha 90.00
_cell_angle_beta 96.61
_cell_angle_gamma 90.00
loop_
_symmetry_equiv_pos_as_xyz
'x,y,z'
'-x,-y,-z'
'-x,y,-z'
'x,-y,z'
'x+1/2,y+1/2,z'
'-x+1/2,-y+1/2,-z'
'-x+1/2,y+1/2,-z'
'x+1/2,-y+1/2,z'
loop_
_atom_site_label
_atom_site_fract_x
_atom_site_fract_y
_atom_site_fract_z
Np1 0.000 0.000 0.000
As1 0.073 0.500 0.249
Pd1 0.000 0.500 0.000
Pd2 0.110 0.500 0.420
Pd3 0.206 0.250 0.852
Pb1 0.113 0.000 0.393
```

Summary:
The uncorrected energy comes out at -138.9 eV/cell.